1.
VASP calculation (GGA-PBE) on EuTePt4 after structural relaxation.

Unit cell a=5.4751 b=5.4751 c=5.4751 alpha=60.00 beta=60.00 gamma=60.00
Last column: nearest neighbours and their distance in Å.
Fractional coordinates of all 6 atoms:
Te (0.2500, 0.2500, 0.2500)  12 Pt 3.21, 4 Eu 3.35
Pt (0.6252, 0.1244, 0.6252)  6 Pt 2.73-2.74
Pt (0.6252, 0.6252, 0.6252)  6 Pt 2.73-2.74
Pt (0.1244, 0.6252, 0.6252)  6 Pt 2.73-2.74
Eu (0.0000, 0.0000, 0.0000)  12 Pt 3.21, 4 Te 3.35
Pt (0.6252, 0.6252, 0.1244)  6 Pt 2.73-2.74

Summary:
total energy = -40.5 eV/cell
space-group type = F-43m, No. 216
ΔE_f (raw) = -0.484 eV/atom



2.
VASP calculation (GGA-PBE) on EuTe2Pt after structural relaxation.

Unit cell a=4.0428 b=4.0428 c=9.5858 alpha=77.83 beta=77.83 gamma=60.00
Last column: nearest neighbours and their distance in Å.
Fractional coordinates of all 4 atoms:
Pt (0.5000, 0.5000, 0.5000)  6 Te 2.73
Eu (0.0000, 0.0000, 0.0000)  2 Te 3.23
Te (0.1159, 0.1159, 0.6522)  3 Pt 2.73
Te (0.8841, 0.8841, 0.3478)  3 Pt 2.73

Summary:
total energy = -24.1 eV/cell
space-group type = R-3m, No. 166
ΔE_f (raw) = -0.377 eV/atom



3.
VASP calculation (GGA-PBE) on EuThPt2 after structural relaxation.

Unit cell a=4.1642 b=4.1642 c=7.4526 alpha=73.78 beta=73.78 gamma=60.00
Last column: nearest neighbours and their distance in Å.
Fractional coordinates of all 4 atoms:
Eu (0.5000, 0.5000, 0.5000)  6 Pt 3.06
Th (0.0000, 0.0000, 0.0000)  6 Pt 2.91
Pt (0.2558, 0.2558, 0.2327)  3 Th 2.91, 3 Eu 3.06
Pt (0.7442, 0.7442, 0.7673)  3 Th 2.91, 3 Eu 3.06

Summary:
total energy = -34.2 eV/cell
space-group type = R-3m, No. 166
formation energy from the elements = -1.096 eV/atom



4.
VASP calculation (GGA-PBE) on EuThPt4 after structural relaxation.

Unit cell a=5.5121 b=5.5121 c=5.5121 alpha=60.00 beta=60.00 gamma=60.00
Last column: nearest neighbours and their distance in Å.
Fractional coordinates of all 6 atoms:
Pt (0.6253, 0.6253, 0.6253)  6 Pt 2.75-2.76
Pt (0.6253, 0.1242, 0.6253)  6 Pt 2.75-2.76
Pt (0.6253, 0.6253, 0.1242)  6 Pt 2.75-2.76
Th (0.2500, 0.2500, 0.2500)  12 Pt 3.23, 4 Eu 3.38
Pt (0.1242, 0.6253, 0.6253)  6 Pt 2.75-2.76
Eu (0.0000, 0.0000, 0.0000)  12 Pt 3.23, 4 Th 3.38

Summary:
total energy = -48.1 eV/cell
space-group type = F-43m, No. 216
formation energy from the elements = -1.045 eV/atom



5.
VASP calculation (GGA-PBE) on EuThPt2 after structural relaxation.

Unit cell a=5.0976 b=5.0976 c=5.0976 alpha=60.00 beta=60.00 gamma=60.00
Last column: nearest neighbours and their distance in Å.
Fractional coordinates of all 4 atoms:
Eu (0.0000, 0.0000, 0.0000)  8 Pt 3.12
Pt (0.2500, 0.2500, 0.2500)  4 Th 3.12, 4 Eu 3.12
Pt (0.7500, 0.7500, 0.7500)  4 Th 3.12, 4 Eu 3.12
Th (0.5000, 0.5000, 0.5000)  8 Pt 3.12

Summary:
total energy = -33.8 eV/cell
space-group type = Fm-3m, No. 225
formation energy from the elements = -0.997 eV/atom



6.
VASP calculation (GGA-PBE) on EuThPt2 after structural relaxation.

Unit cell a=3.6546 b=3.6546 c=7.3224 alpha=90.00 beta=90.00 gamma=90.00
Last column: nearest neighbours and their distance in Å.
Fractional coordinates of all 4 atoms:
Th (0.5000, 0.5000, 0.0000)  8 Pt 3.03
Pt (0.0000, 0.0000, 0.7852)  4 Th 3.03, 1 Pt 3.15, 4 Eu 3.32
Pt (0.0000, 0.0000, 0.2148)  4 Th 3.03, 1 Pt 3.15, 4 Eu 3.32
Eu (0.5000, 0.5000, 0.5000)  8 Pt 3.32, 4 Eu 3.65, 2 Th 3.66

Summary:
total energy = -34.0 eV/cell
space-group type = P4/mmm, No. 123
formation energy from the elements = -1.053 eV/atom



7.
VASP calculation (GGA-PBE) on EuTh2Pt after structural relaxation.

Unit cell a=3.8961 b=3.8961 c=10.0307 alpha=78.80 beta=78.80 gamma=60.00
Last column: nearest neighbours and their distance in Å.
Fractional coordinates of all 4 atoms:
Pt (0.5000, 0.5000, 0.5000)  6 Th 2.92
Eu (0.0000, 0.0000, 0.0000)  6 Th 3.77, 6 Eu 3.90
Th (0.7698, 0.7698, 0.6907)  3 Pt 2.92
Th (0.2302, 0.2302, 0.3093)  3 Pt 2.92

Summary:
total energy = -32.8 eV/cell
space-group type = R-3m, No. 166
formation energy from the elements = -0.409 eV/atom



8.
VASP calculation (GGA-PBE) on EuThPt after structural relaxation.

Unit cell a=5.0193 b=5.0193 c=5.0193 alpha=60.00 beta=60.00 gamma=60.00
Last column: nearest neighbours and their distance in Å.
Fractional coordinates of all 3 atoms:
Pt (0.2500, 0.2500, 0.2500)  4 Eu 3.07, 4 Th 3.07
Eu (0.0000, 0.0000, 0.0000)  4 Pt 3.07
Th (0.5000, 0.5000, 0.5000)  4 Pt 3.07

Summary:
total energy = -25.4 eV/cell
space-group type = F-43m, No. 216
formation energy from the elements = -0.571 eV/atom



9.
VASP calculation (GGA-PBE) on EuThPt after structural relaxation.

Unit cell a=4.2756 b=4.7711 c=4.7711 alpha=120.00 beta=90.00 gamma=90.00
Last column: nearest neighbours and their distance in Å.
Fractional coordinates of all 3 atoms:
Eu (0.7033, 0.6667, 0.3333)  3 Pt 3.12, 3 Th 3.36
Pt (0.0443, 0.0000, 0.0000)  3 Th 2.89, 3 Eu 3.12
Th (0.2525, 0.3333, 0.6667)  3 Pt 2.89

Summary:
total energy = -25.2 eV/cell
space-group type = P3m1, No. 156
formation energy from the elements = -0.480 eV/atom



10.
VASP calculation (GGA-PBE) on EuThZnPt after structural relaxation.

Unit cell a=5.1502 b=5.1502 c=5.1502 alpha=60.00 beta=60.00 gamma=60.00
Last column: nearest neighbours and their distance in Å.
Fractional coordinates of all 4 atoms:
Eu (0.0000, 0.0000, 0.0000)  4 Zn 3.15, 4 Pt 3.15
Th (0.5000, 0.5000, 0.5000)  4 Pt 3.15, 4 Zn 3.15
Zn (0.7500, 0.7500, 0.7500)  4 Eu 3.15, 4 Th 3.15
Pt (0.2500, 0.2500, 0.2500)  4 Eu 3.15, 4 Th 3.15

Summary:
total energy = -27.3 eV/cell
space-group type = F-43m, No. 216
formation energy from the elements = -0.569 eV/atom



11.
VASP calculation (GGA-PBE) on EuTiPt2 after structural relaxation.

Unit cell a=3.2448 b=3.2448 c=7.3510 alpha=90.00 beta=90.00 gamma=90.00
Last column: nearest neighbours and their distance in Å.
Fractional coordinates of all 4 atoms:
Pt (0.0000, 0.0000, 0.8054)  4 Ti 2.70, 1 Pt 2.86
Ti (0.5000, 0.5000, 0.0000)  8 Pt 2.70
Eu (0.5000, 0.5000, 0.5000)  8 Pt 3.21, 4 Eu 3.24
Pt (0.0000, 0.0000, 0.1946)  4 Ti 2.70, 1 Pt 2.86

Summary:
total energy = -33.7 eV/cell
space-group type = P4/mmm, No. 123
formation energy from the elements = -0.863 eV/atom



12.
VASP calculation (GGA-PBE) on EuTiPt2 after structural relaxation.

Unit cell a=4.3990 b=4.3990 c=5.7597 alpha=67.55 beta=67.55 gamma=60.00
Last column: nearest neighbours and their distance in Å.
Fractional coordinates of all 4 atoms:
Pt (0.2911, 0.2911, 0.1267)  3 Ti 2.62, 3 Pt 2.86
Ti (0.0000, 0.0000, 0.0000)  6 Pt 2.62
Pt (0.7089, 0.7089, 0.8733)  3 Ti 2.62, 3 Pt 2.86
Eu (0.5000, 0.5000, 0.5000)  8 Pt 3.19-3.24

Summary:
total energy = -33.6 eV/cell
space-group type = R-3m, No. 166
formation energy from the elements = -0.831 eV/atom



13.
VASP calculation (GGA-PBE) on EuTlPt4 after structural relaxation.

Unit cell a=5.4726 b=5.4726 c=5.4726 alpha=60.00 beta=60.00 gamma=60.00
Last column: nearest neighbours and their distance in Å.
Fractional coordinates of all 6 atoms:
Pt (0.1238, 0.6254, 0.6254)  6 Pt 2.73-2.74
Pt (0.6254, 0.1238, 0.6254)  6 Pt 2.73-2.74
Pt (0.6254, 0.6254, 0.1238)  6 Pt 2.73-2.74
Pt (0.6254, 0.6254, 0.6254)  6 Pt 2.73-2.74
Tl (0.0000, 0.0000, 0.0000)  12 Pt 3.21, 4 Eu 3.35
Eu (0.2500, 0.2500, 0.2500)  12 Pt 3.21, 4 Tl 3.35

Summary:
total energy = -40.6 eV/cell
space-group type = F-43m, No. 216
formation energy from the elements = -0.632 eV/atom



14.
VASP calculation (GGA-PBE) on Eu3TlPt after structural relaxation.

Unit cell a=5.6937 b=5.6937 c=5.6937 alpha=90.00 beta=90.00 gamma=90.00
Last column: nearest neighbours and their distance in Å.
Fractional coordinates of all 5 atoms:
Tl (0.5000, 0.5000, 0.5000)  12 Eu 4.03
Pt (0.0000, 0.0000, 0.0000)  6 Eu 2.85
Eu (0.5000, 0.0000, 0.0000)  2 Pt 2.85
Eu (0.0000, 0.0000, 0.5000)  2 Pt 2.85
Eu (0.0000, 0.5000, 0.0000)  2 Pt 2.85

Summary:
total energy = -41.6 eV/cell
space-group type = Pm-3m, No. 221
formation energy from the elements = -0.480 eV/atom



15.
VASP calculation (GGA-PBE) on Eu2TlPt after structural relaxation.

Unit cell a=4.0500 b=4.0500 c=10.4594 alpha=78.84 beta=78.84 gamma=60.00
Last column: nearest neighbours and their distance in Å.
Fractional coordinates of all 4 atoms:
Eu (0.1108, 0.1108, 0.6677)  3 Pt 2.90
Pt (0.5000, 0.5000, 0.5000)  6 Eu 2.90
Eu (0.8892, 0.8892, 0.3323)  3 Pt 2.90
Tl (0.0000, 0.0000, 0.0000)  2 Eu 3.39

Summary:
total energy = -30.6 eV/cell
space-group type = R-3m, No. 166
formation energy from the elements = -0.423 eV/atom